1.
VASP calculation (PBE) on a relaxed KThBi2O6 crystal.

For the density, the calculation gives 7.394 g cm⁻³. As for the size of the total moment: 0.00 μB per formula unit. For the raw total energy, the calculation gives -65.3 eV/f.u. As for the space group: P1 (1).

The structure in POSCAR format:
```
KThBi2O6
1.0
6.130 0.000 0.000
3.062 5.310 0.000
0.003 3.532 5.417
K Th Bi O
1 1 2 6
direct
0.000 0.000 0.000
0.523 0.955 0.568
0.228 0.544 0.684
0.735 0.530 0.205
0.115 0.410 0.412
0.400 0.668 0.876
0.474 0.703 0.411
0.543 0.058 0.875
0.821 0.065 0.410
0.932 0.525 0.876
```



2.
VASP calculation (PBE) on a relaxed K4ThBi3O12 crystal.

For the density, the calculation gives 6.128 g cm⁻³. As for the size of the total moment: 1.03 μB per formula unit. For the raw total energy, the calculation gives -112.7 eV/f.u. As for the space group: Im-3m (229).

The structure in POSCAR format:
```
K4ThBi3O12
1.0
-4.341 4.341 4.341
4.341 -4.341 4.341
4.341 4.341 -4.341
K Th Bi O
4 1 3 12
direct
0.000 0.000 0.500
0.000 0.500 0.000
0.500 0.000 0.000
0.500 0.500 0.500
0.000 0.000 0.000
0.000 0.500 0.500
0.500 0.000 0.500
0.500 0.500 0.000
0.000 0.259 0.259
0.000 0.741 0.741
0.250 0.500 0.750
0.250 0.750 0.500
0.259 0.000 0.259
0.259 0.259 0.000
0.500 0.250 0.750
0.500 0.750 0.250
0.741 0.000 0.741
0.741 0.741 0.000
0.750 0.250 0.500
0.750 0.500 0.250
```